! PBE Ga2CoMo, relaxed; values from VASP
&SYSTEM
  ibrav = 0, nat = 4, ntyp = 3
/
ATOMIC_SPECIES
Mo 95.94 Mo.upf
Co 58.93 Co.upf
Ga 69.72 Ga.upf
ATOMIC_POSITIONS crystal
Mo 0.500 0.500 0.500
Co 0.500 0.500 0.000
Ga 0.000 0.000 0.783
Ga 0.000 0.000 0.217
CELL_PARAMETERS angstrom
2.865 0.000 0.000
0.000 2.865 0.000
0.000 0.000 6.650
! formation energy from the elements	-0.0838	eV/atom
! space group	P4/mmm (123)
! energy relative to the lowest polymorph listed for this composition	0.000	eV per atom
! calculated volume	54.6	Å³ per cell

=====

! PBE GaCoMo3, relaxed; values from VASP
&SYSTEM
  ibrav = 0, nat = 5, ntyp = 3
/
ATOMIC_SPECIES
Mo 95.94 Mo.upf
Co 58.93 Co.upf
Ga 69.72 Ga.upf
ATOMIC_POSITIONS crystal
Mo 0.000 0.500 0.000
Mo 0.000 0.000 0.500
Mo 0.500 0.000 0.000
Co 0.500 0.500 0.500
Ga 0.000 0.000 0.000
CELL_PARAMETERS angstrom
-3.952 -2.173 0.435
0.917 -2.412 -3.724
2.018 -3.160 2.544
! formation energy from the elements	1.8501	eV/atom
! space group	Pm-3m (221)
! energy relative to the lowest polymorph listed for this composition	0.774	eV per atom
! calculated volume	93.0	Å³ per cell

=====

! PBE Ga2Co2Mo, relaxed; values from VASP
&SYSTEM
  ibrav = 0, nat = 10, ntyp = 3
/
ATOMIC_SPECIES
Mo 95.94 Mo.upf
Co 58.93 Co.upf
Ga 69.72 Ga.upf
ATOMIC_POSITIONS crystal
Mo 0.000 0.000 0.000
Mo 0.500 0.500 0.000
Co 0.373 0.873 0.000
Co 0.873 0.627 0.000
Co 0.627 0.127 0.000
Co 0.127 0.373 0.000
Ga 0.169 0.669 0.500
Ga 0.669 0.831 0.500
Ga 0.831 0.331 0.500
Ga 0.331 0.169 0.500
CELL_PARAMETERS angstrom
-5.528 -0.746 -4.148
4.199 -1.559 -5.316
-0.139 -2.612 0.656
! formation energy from the elements	-0.0130	eV/atom
! space group	P4/mbm (127)
! energy relative to the lowest polymorph listed for this composition	0.085	eV per atom
! calculated volume	130.3	Å³ per cell

=====

! PBE Ga2CoMo, relaxed; values from VASP
&SYSTEM
  ibrav = 0, nat = 4, ntyp = 3
/
ATOMIC_SPECIES
Ga 69.72 Ga.upf
Co 58.93 Co.upf
Mo 95.94 Mo.upf
ATOMIC_POSITIONS crystal
Ga 0.076 0.076 0.771
Ga 0.257 0.257 0.229
Co 0.666 0.666 0.001
Mo 0.500 0.500 0.499
CELL_PARAMETERS angstrom
-2.680 0.243 -0.869
-1.438 -2.297 -0.809
-3.984 -1.778 7.184
! formation energy from the elements	-0.0381	eV/atom
! space group	R3m (160)
! energy relative to the lowest polymorph listed for this composition	0.046	eV per atom
! calculated volume	57.1	Å³ per cell

=====

! PBE Ga4Co5Mo, relaxed; values from VASP
&SYSTEM
  ibrav = 0, nat = 10, ntyp = 3
/
ATOMIC_SPECIES
Ga 69.72 Ga.upf
Co 58.93 Co.upf
Mo 95.94 Mo.upf
ATOMIC_POSITIONS crystal
Ga 0.000 0.000 0.208
Ga 0.000 0.000 0.403
Ga 0.000 0.000 0.597
Ga 0.000 0.000 0.792
Co 0.500 0.500 0.112
Co 0.500 0.500 0.306
Co 0.500 0.500 0.500
Co 0.500 0.500 0.694
Co 0.500 0.500 0.888
Mo 0.000 0.000 0.000
CELL_PARAMETERS angstrom
-0.566 2.517 -1.080
-1.919 -1.152 -1.678
-10.852 2.230 10.880
! formation energy from the elements	-0.2216	eV/atom
! space group	P4/mmm (123)
! calculated volume	121.5	Å³ per cell

=====

! PBE GaCo2MoN, relaxed; values from VASP
&SYSTEM
  ibrav = 0, nat = 5, ntyp = 4
/
ATOMIC_SPECIES
Mo 95.94 Mo.upf
Co 58.93 Co.upf
Ga 69.72 Ga.upf
N 14.01 N.upf
ATOMIC_POSITIONS crystal
Mo 0.000 0.000 0.500
Co 0.000 0.500 0.000
Co 0.500 0.000 0.000
Ga 0.500 0.500 0.500
N 0.000 0.000 0.000
CELL_PARAMETERS angstrom
-3.251 -1.198 -1.541
0.744 -3.529 1.174
-1.945 0.758 3.512
! E_tot	-37.27	eV for the cell shown
! space group	P4/mmm (123)
! calculated volume	58.8	Å³ per cell

=====

What did the third record say?
! PBE Ga2Co2Mo, relaxed; values from VASP
&SYSTEM
  ibrav = 0, nat = 10, ntyp = 3
/
ATOMIC_SPECIES
Mo 95.94 Mo.upf
Co 58.93 Co.upf
Ga 69.72 Ga.upf
ATOMIC_POSITIONS crystal
Mo 0.000 0.000 0.000
Mo 0.500 0.500 0.000
Co 0.373 0.873 0.000
Co 0.873 0.627 0.000
Co 0.627 0.127 0.000
Co 0.127 0.373 0.000
Ga 0.169 0.669 0.500
Ga 0.669 0.831 0.500
Ga 0.831 0.331 0.500
Ga 0.331 0.169 0.500
CELL_PARAMETERS angstrom
-5.528 -0.746 -4.148
4.199 -1.559 -5.316
-0.139 -2.612 0.656
! formation energy from the elements	-0.0130	eV/atom
! space group	P4/mbm (127)
! energy relative to the lowest polymorph listed for this composition	0.085	eV per atom
! calculated volume	130.3	Å³ per cell

=====

Copy entry 5 word for word.
! PBE Ga4Co5Mo, relaxed; values from VASP
&SYSTEM
  ibrav = 0, nat = 10, ntyp = 3
/
ATOMIC_SPECIES
Ga 69.72 Ga.upf
Co 58.93 Co.upf
Mo 95.94 Mo.upf
ATOMIC_POSITIONS crystal
Ga 0.000 0.000 0.208
Ga 0.000 0.000 0.403
Ga 0.000 0.000 0.597
Ga 0.000 0.000 0.792
Co 0.500 0.500 0.112
Co 0.500 0.500 0.306
Co 0.500 0.500 0.500
Co 0.500 0.500 0.694
Co 0.500 0.500 0.888
Mo 0.000 0.000 0.000
CELL_PARAMETERS angstrom
-0.566 2.517 -1.080
-1.919 -1.152 -1.678
-10.852 2.230 10.880
! formation energy from the elements	-0.2216	eV/atom
! space group	P4/mmm (123)
! calculated volume	121.5	Å³ per cell

=====

Q: Which value of calculated volume does entry 3 give?
A: 130.3 Å³ per cell

=====

Q: Among the records above, which one has the highest calculated volume?
A: Ga2Co2Mo